Compound: Sn2Bi2Se
Source: Alexandria
Functional: PBE-GGA
Structure: optimized geometry

abc: 8.037 8.037 4.877
angles: 90.00 90.00 90.00
Space group P4/mbm (No. 127)
One atom of each set of equivalent atoms:
Sn 0.186 0.314 0.000
Bi 0.133 0.633 0.500
Se 0.000 0.000 0.000

Summary:
The uncorrected formation energy comes out at 64 kJ/mol of formula units. The value obtained for the calculated volume is 31.50 A^3/atom. Its total magnetization is 0.0 Bohr magnetons per cell. The energy relative to the lowest polymorph listed for this composition is 31 meV per atom.